## Sc4HgSe (PBE-GGA)

Data for Sc4HgSe after structural relaxation.

Output
Its crystal system is cubic. The calculation puts the formation energy (no corrections) at 0.1093 eV per atom. For the total energy, the calculation gives -4.7427 eV/atom. The density of states at the Fermi level is 9.1 states/eV per cell. The calculation puts the total moment at 0.0 μB per formula unit.

Unit cell a=5.8279 b=5.8279 c=5.8279 alpha=60.00 beta=60.00 gamma=60.00
Last column: nearest neighbours and their distance in Å.
Fractional positions:
1 Sc 0.8769 0.3744 0.3744  6 Sc 2.90-2.93
2 Sc 0.3744 0.3744 0.8769  6 Sc 2.90-2.93
3 Sc 0.3744 0.8769 0.3744  6 Sc 2.90-2.93
4 Sc 0.3744 0.3744 0.3744  6 Sc 2.90-2.93
5 Hg 0.0000 0.0000 0.0000  12 Sc 3.42, 4 Se 3.57
6 Se 0.7500 0.7500 0.7500  12 Sc 3.42, 4 Hg 3.57